Entry 1:
A plane-wave DFT calculation with GGA-PBE was carried out for TlCd2FeAs after structural relaxation.

Cell and atoms, written as POSCAR:
```
TlCd2FeAs
1.0
-2.605 2.923 3.500
1.873 -3.266 4.122
4.206 3.098 0.544
Fe Tl As Cd
1 1 1 2
Cartesian
1.737 1.377 4.083
0.936 -1.633 2.061
0.000 0.000 0.000
2.103 1.549 0.272
-1.303 1.462 1.750
```

Properties
The calculation puts the volume at 154 Å³ per cell. Its formation energy is 0.906 eV/atom.

=====

Entry 2:
A plane-wave DFT calculation with GGA-PBE was carried out for ZrCdFeAs2 after structural relaxation.

Cell and atoms, written as POSCAR:
```
ZrCdFeAs2
1.0
4.970 0.000 0.000
0.000 5.408 0.000
0.000 0.000 4.970
As Fe Zr Cd
2 1 1 1
Cartesian
0.000 0.000 2.485
2.485 0.000 0.000
2.485 2.704 2.485
0.000 2.704 0.000
0.000 0.000 0.000
```

Properties
The calculation puts the volume at 134 Å³ per cell. Its formation energy is 1.380 eV/atom.

=====

Entry 3:
A plane-wave DFT calculation with GGA-PBE was carried out for CdGaAs after structural relaxation.

Cell and atoms, written as POSCAR:
```
CdGaAs
1.0
3.920 0.000 0.000
1.960 7.716 0.629
1.960 3.857 5.299
As Ga Cd
2 2 2
Cartesian
3.920 7.920 3.035
3.920 3.652 2.893
3.920 1.434 1.399
3.920 10.139 4.528
3.920 5.785 1.206
3.920 5.788 4.722
```

Properties
The calculation puts the volume at 151 Å³ per cell. Its formation energy is 0.007 eV/atom.

=====

Entry 4:
A plane-wave DFT calculation with GGA-PBE was carried out for Cd2GaAs2 after structural relaxation.

Cell and atoms, written as POSCAR:
```
Cd2GaAs2
1.0
8.136 0.000 0.000
0.000 8.136 0.000
0.000 0.000 3.352
As Ga Cd
4 2 4
Cartesian
2.709 6.777 0.000
6.777 5.427 0.000
5.427 1.359 0.000
1.359 2.709 0.000
0.000 0.000 0.000
4.068 4.068 0.000
1.103 5.171 1.676
5.171 7.033 1.676
7.033 2.965 1.676
2.965 1.103 1.676
```

Properties
The calculation puts the distance to the lowest polymorph of the same formula at 0.259 eV per formula unit. The calculation puts the volume at 222 Å³ per cell. Its formation energy is 0.161 eV/atom.

=====

Entry 5:
A plane-wave DFT calculation with GGA-PBE was carried out for Cd2GaAs after structural relaxation.

Cell and atoms, written as POSCAR:
```
Cd2GaAs
1.0
2.664 -1.813 3.810
-2.206 -2.839 3.460
1.011 -4.881 0.238
As Ga Cd
1 1 2
Cartesian
0.735 -4.766 3.754
0.000 0.000 0.000
0.367 -2.383 1.877
1.102 -7.150 5.631
```

Properties
The calculation puts the distance to the lowest polymorph of the same formula at 0.000 eV per formula unit. The calculation puts the volume at 88 Å³ per cell. Its formation energy is 0.121 eV/atom.

=====

Entry 6:
A plane-wave DFT calculation with GGA-PBE was carried out for Cd2GaAs2 after structural relaxation.

Cell and atoms, written as POSCAR:
```
Cd2GaAs2
1.0
-3.649 -7.030 2.913
7.490 -2.747 2.753
-0.504 1.414 2.783
As Ga Cd
4 2 4
Cartesian
4.112 -2.243 3.681
3.617 -6.246 5.626
-0.775 -6.119 4.767
-0.280 -2.117 2.822
0.000 0.000 0.000
1.920 -4.889 2.833
5.139 -4.922 3.432
1.623 -7.816 4.267
-1.298 -4.856 2.233
2.218 -1.961 1.398
```

Properties
The calculation puts the distance to the lowest polymorph of the same formula at 0.334 eV per formula unit. The calculation puts the volume at 225 Å³ per cell. Its formation energy is 0.176 eV/atom.

=====

Question: Among the records above, which one has the lowest volume?
Answer: Cd2GaAs

=====

Question: Which formula does entry 6 have?
Answer: Cd2GaAs2

=====

Question: Which of these has the highest volume?
Answer: number 6